Entry 1:
VCrWO6 | GGA+U | optimized geometry

```
VCrWO6
1.0
5.059 0.000 0.000
-2.530 4.381 0.000
0.000 0.000 8.990
V Cr W O
2 2 2 12
direct
0.000 0.000 0.000
0.000 0.000 0.500
0.333 0.667 0.250
0.667 0.333 0.750
0.333 0.667 0.750
0.667 0.333 0.250
0.011 0.344 0.631
0.011 0.667 0.869
0.333 0.344 0.869
0.333 0.989 0.631
0.344 0.011 0.131
0.344 0.333 0.369
0.656 0.667 0.631
0.656 0.989 0.869
0.667 0.011 0.369
0.667 0.656 0.131
0.989 0.333 0.131
0.989 0.656 0.369
```

final energy: -139.4 eV for the cell shown
calculated volume: 11.071 A^3/atom

Entry 2:
V2ZnCrO8 | GGA+U | optimized geometry

```
V2ZnCrO8
1.0
-3.285 3.285 3.173
3.285 -3.285 3.173
3.285 3.285 -3.173
V Zn Cr O
2 1 1 8
direct
0.000 0.000 0.000
0.750 0.250 0.500
0.250 0.750 0.500
0.500 0.500 0.000
0.019 0.820 0.200
0.127 0.413 0.714
0.180 0.380 0.200
0.180 0.981 0.800
0.587 0.301 0.714
0.587 0.873 0.286
0.620 0.820 0.800
0.699 0.413 0.286
```

final energy: -81.1 eV for the cell shown
calculated volume: 11.417 A^3/atom

Entry 3:
ZrV2CrO8 | GGA+U | optimized geometry

```
ZrV2CrO8
1.0
-3.439 3.439 3.151
3.439 -3.439 3.151
3.439 3.439 -3.151
Zr V Cr O
1 2 1 8
direct
0.000 0.000 0.000
0.500 0.500 0.000
0.750 0.250 0.500
0.250 0.750 0.500
0.315 0.124 0.809
0.315 0.506 0.191
0.384 0.086 0.298
0.494 0.685 0.809
0.787 0.086 0.702
0.876 0.685 0.191
0.914 0.213 0.298
0.914 0.616 0.702
```

final energy: -96.7 eV for the cell shown
calculated volume: 12.420 A^3/atom

Entry 4:
ZrVCrO6 | GGA+U | optimized geometry

```
ZrVCrO6
1.0
4.713 0.000 0.000
0.000 4.713 0.000
0.000 0.000 9.157
Zr V Cr O
2 2 2 12
direct
0.000 0.000 0.000
0.500 0.500 0.500
0.000 0.000 0.666
0.500 0.500 0.166
0.000 0.000 0.330
0.500 0.500 0.830
0.183 0.183 0.502
0.195 0.195 0.812
0.209 0.209 0.167
0.291 0.709 0.667
0.305 0.695 0.312
0.317 0.683 0.002
0.683 0.317 0.002
0.695 0.305 0.312
0.709 0.291 0.667
0.791 0.791 0.167
0.805 0.805 0.812
0.817 0.817 0.502
```

final energy: -147.9 eV for the cell shown
calculated volume: 11.300 A^3/atom

Entry 5:
ZrVCr2O8 | GGA+U | optimized geometry

```
ZrVCr2O8
1.0
4.647 0.000 0.000
0.000 6.114 0.000
-0.017 0.000 4.653
Zr V Cr O
1 1 2 8
direct
0.000 0.000 0.000
0.000 0.500 0.000
0.500 0.256 0.500
0.500 0.744 0.500
0.196 0.275 0.195
0.196 0.725 0.195
0.299 0.500 0.700
0.314 0.000 0.684
0.686 0.000 0.316
0.701 0.500 0.300
0.804 0.275 0.805
0.804 0.725 0.805
```

final energy: -95.9 eV for the cell shown
calculated volume: 11.018 A^3/atom

Entry 6:
CrWO3 | GGA+U | optimized geometry

```
CrWO3
1.0
3.812 0.000 0.000
0.000 3.812 0.000
0.000 0.000 3.812
Cr W O
1 1 3
direct
0.000 0.000 0.000
0.500 0.500 0.500
0.000 0.000 0.500
0.000 0.500 0.000
0.500 0.000 0.000
```

final energy: -33.5 eV for the cell shown
calculated volume: 11.080 A^3/atom

Entry 7:
CrWO3 | GGA+U | optimized geometry

```
CrWO3
1.0
3.950 0.000 0.000
0.000 3.950 0.000
0.000 0.000 3.950
Cr W O
1 1 3
direct
0.000 0.000 0.000
0.500 0.500 0.500
0.000 0.500 0.500
0.500 0.000 0.500
0.500 0.500 0.000
```

final energy: -36.4 eV for the cell shown
calculated volume: 12.327 A^3/atom

Entry 8:
CrWO2 | GGA+U | optimized geometry

```
CrWO2
1.0
-2.460 2.460 4.809
2.460 -2.460 4.809
2.460 2.460 -4.809
Cr W O
2 2 4
direct
0.000 0.000 0.000
0.750 0.250 0.500
0.250 0.750 0.500
0.500 0.500 0.000
0.140 0.625 0.015
0.375 0.390 0.515
0.610 0.125 0.985
0.875 0.860 0.485
```

E above lowest polymorph: 433 meV/atom
final energy: -55.3 eV for the cell shown
calculated volume: 14.549 A^3/atom